Entry 1:
DFT (PBEsol) results for a relaxed structure of TlRe2Pt.

The structure in extended XYZ format:
```
4
Lattice="-1.7509 1.7972 -1.3191 -3.2612 -3.7444 -0.7730 -0.6165 2.5467 4.2880" Properties=species:S:1:pos:R:3 pbc="T T T"
Pt -2.8143 0.2998 1.0979
Tl -0.8754 0.8986 -0.6596
Re -1.6306 -1.8722 -0.3865
Re -0.3083 1.2734 2.1440
```

Results
Calculated density   19.82 g/cm3
N(E_F)   3.88 states/eV/cell
Symmetry   Cmmm, No. 65
Formation energy from the elements   0.7762 eV per atom

=====

Entry 2:
DFT (PBEsol) results for a relaxed structure of TlRe2Pt.

The structure in extended XYZ format:
```
4
Lattice="2.7868 0.0000 0.0000 0.0000 2.7868 0.0000 0.0000 0.0000 8.3382" Properties=species:S:1:pos:R:3 pbc="T T T"
Re 0.0000 0.0000 2.2500
Re 0.0000 0.0000 6.0881
Tl 1.3934 1.3934 0.0000
Pt 1.3934 1.3934 4.1691
```

Results
Calculated density   19.79 g/cm3
N(E_F)   3.45 states/eV/cell
Symmetry   P4/mmm, No. 123
Formation energy from the elements   0.7209 eV per atom

=====

Entry 3:
DFT (PBEsol) results for a relaxed structure of TlRePt2.

The structure in extended XYZ format:
```
4
Lattice="-2.0071 -0.3539 -2.0076 -1.8729 -1.4497 4.1663 -1.2552 4.8982 0.3915" Properties=species:S:1:pos:R:3 pbc="T T T"
Pt -3.3074 2.5951 0.8109
Pt -1.8278 0.4995 1.7393
Tl -1.0035 -0.1769 -1.0038
Re -0.6276 2.4491 0.1957
```

Results
Calculated density   19.72 g/cm3
N(E_F)   3.06 states/eV/cell
Symmetry   C2/m, No. 12
Formation energy from the elements   0.3769 eV per atom

=====

Entry 4:
DFT (PBEsol) results for a relaxed structure of Tl2RePt.

The structure in extended XYZ format:
```
4
Lattice="2.9939 0.0000 0.0000 0.0000 5.2874 0.0000 -1.4969 -2.6437 4.6904" Properties=species:S:1:pos:R:3 pbc="T T T"
Pt 1.4969 0.0000 0.0000
Tl 1.4969 2.6437 2.3792
Tl 0.0000 0.0000 2.3112
Re 0.0000 2.6437 0.0000
```

Results
Calculated density   17.67 g/cm3
N(E_F)   3.08 states/eV/cell
Symmetry   Immm, No. 71
Formation energy from the elements   0.7814 eV per atom

=====

Sequential excess energy over the best structure of this formula in the dataset output: 157; 102; 51; 154 meV per atom